# PBE InGeCl3, optimized geometry
data_InGeCl3
_chemical_formula_sum 'In2 Ge2 Cl6'
_cell_length_a 4.7069
_cell_length_b 4.7069
_cell_length_c 17.0411
_cell_angle_alpha 90.00
_cell_angle_beta 90.00
_cell_angle_gamma 120.00
_symmetry_space_group_name_H-M 'P 1'
_symmetry_Int_Tables_number 1
_symmetry_space_group_name_Hall 'P 1'
loop_
_atom_site_label
_atom_site_type_symbol
_atom_site_fract_x
_atom_site_fract_y
_atom_site_fract_z
_atom_site_occupancy
Ge1 Ge 0.3333 0.6667 0.7500 1
Ge2 Ge 0.6667 0.3333 0.2500 1
Cl1 Cl 0.0000 0.0000 0.2500 1
Cl2 Cl 0.0000 0.0000 0.7500 1
Cl3 Cl 0.3333 0.6667 0.9002 1
Cl4 Cl 0.3333 0.6667 0.5998 1
Cl5 Cl 0.6667 0.3333 0.4002 1
Cl6 Cl 0.6667 0.3333 0.0998 1
In1 In 0.0000 0.0000 0.0000 1
In2 In 0.0000 0.0000 0.5000 1
# Space-group type = P6_3/mmc
# ΔE_f (raw) = -0.7127 eV per atom